(1)
A plane-wave DFT calculation with PBE-GGA was carried out for a geometry-optimized Zr3SnP structure.

Lattice parameters (Å, degrees): 6.1290 6.1290 9.7105 90.00 90.00 143.65
Fractional coordinates of all 10 atoms:
Zr (0.0525, 0.9475, 0.7500)
Zr (0.3603, 0.6397, 0.5546)
Zr (0.3603, 0.6397, 0.9454)
Zr (0.6397, 0.3603, 0.0546)
Zr (0.6397, 0.3603, 0.4454)
Zr (0.9475, 0.0525, 0.2500)
Sn (0.2532, 0.7468, 0.2500)
Sn (0.7468, 0.2532, 0.7500)
P (0.0000, 0.0000, 0.0000)
P (0.0000, 0.0000, 0.5000)

Values from the calculation:
Magnetization in μB per cell: 0.02
Energy in eV/cell: -78.78
SG: Cmcm

---

(2)
A plane-wave DFT calculation with PBE-GGA was carried out for a geometry-optimized BaPuMo structure.

Lattice parameters (Å, degrees): 4.7375 4.7375 4.7375 60.00 60.00 60.00
Fractional coordinates of all 3 atoms:
Ba (0.0000, 0.0000, 0.0000)
Pu (0.2500, 0.2500, 0.2500)
Mo (0.7500, 0.7500, 0.7500)

Values from the calculation:
Magnetization in μB per cell: 0.21
Energy in eV/cell: -19.54
SG: F-43m

---

(3)
A plane-wave DFT calculation with PBE-GGA was carried out for a geometry-optimized ZrGe2Pd structure.

Lattice parameters (Å, degrees): 3.7623 5.8927 6.6734 90.00 90.00 90.00
Fractional coordinates of all 8 atoms:
Zr (0.0000, 0.2149, 0.0000)
Zr (0.5000, 0.7851, 0.5000)
Ge (0.0000, 0.1142, 0.4014)
Ge (0.0000, 0.5819, 0.7533)
Ge (0.5000, 0.4181, 0.2533)
Ge (0.5000, 0.8858, 0.9014)
Pd (0.0000, 0.7339, 0.1426)
Pd (0.5000, 0.2661, 0.6426)

Values from the calculation:
Magnetization in μB per cell: 0.01
Energy in eV/cell: -49.57
SG: Pmn2_1

---

(4)
A plane-wave DFT calculation with PBE-GGA was carried out for a geometry-optimized TlGeW4C2 structure.

Lattice parameters (Å, degrees): 3.1808 3.1808 13.1765 90.00 90.00 120.00
Fractional coordinates of all 8 atoms:
Tl (0.0000, 0.0000, 0.0000)
Ge (0.3333, 0.6667, 0.5000)
W (0.0000, 0.0000, 0.3524)
W (0.0000, 0.0000, 0.6476)
W (0.3333, 0.6667, 0.1837)
W (0.3333, 0.6667, 0.8163)
C (0.6667, 0.3333, 0.2643)
C (0.6667, 0.3333, 0.7357)

Values from the calculation:
Magnetization in μB per cell: 0.01
Energy in eV/cell: -74.98
SG: P-6m2

---

(5)
A plane-wave DFT calculation with PBE-GGA was carried out for a geometry-optimized ScCdNiB structure.

Lattice parameters (Å, degrees): 4.3266 4.3266 4.3266 60.00 60.00 60.00
Fractional coordinates of all 4 atoms:
Sc (0.0000, 0.0000, 0.0000)
Cd (0.5000, 0.5000, 0.5000)
Ni (0.2500, 0.2500, 0.2500)
B (0.7500, 0.7500, 0.7500)

Values from the calculation:
Magnetization in μB per cell: 0.02
Energy in eV/cell: -18.80
SG: F-43m

---

(6)
A plane-wave DFT calculation with PBE-GGA was carried out for a geometry-optimized Pm3Pd2Au3 structure.

Lattice parameters (Å, degrees): 5.6190 5.6190 17.2771 90.00 90.00 137.65
Fractional coordinates of all 16 atoms:
Pm (0.0651, 0.9349, 0.6026)
Pm (0.0651, 0.9349, 0.8974)
Pm (0.3299, 0.6701, 0.7500)
Pm (0.6701, 0.3299, 0.2500)
Pm (0.9349, 0.0651, 0.1026)
Pm (0.9349, 0.0651, 0.3974)
Pd (0.2250, 0.7750, 0.1238)
Pd (0.2250, 0.7750, 0.3762)
Pd (0.7750, 0.2250, 0.6238)
Pd (0.7750, 0.2250, 0.8762)
Au (0.3651, 0.6349, 0.5281)
Au (0.3651, 0.6349, 0.9719)
Au (0.3917, 0.6083, 0.2500)
Au (0.6083, 0.3917, 0.7500)
Au (0.6349, 0.3651, 0.0281)
Au (0.6349, 0.3651, 0.4719)

Values from the calculation:
Magnetization in μB per cell: 0.02
Energy in eV/cell: -82.10
SG: Cmcm
ΔH_f (0 K) in eV per atom: -0.8328

---

(7)
A plane-wave DFT calculation with PBE-GGA was carried out for a geometry-optimized TbEr2Sn3PdPt2 structure.

Lattice parameters (Å, degrees): 3.9977 7.5233 7.5233 120.20 90.00 90.00
Fractional coordinates of all 9 atoms:
Tb (0.0000, 0.0000, 0.0000)
Er (0.0000, 0.1832, 0.5914)
Er (0.0000, 0.5914, 0.1832)
Sn (0.5000, 0.3335, 0.3335)
Sn (0.5000, 0.5905, 0.8491)
Sn (0.5000, 0.8491, 0.5905)
Pd (0.0000, 0.5897, 0.5897)
Pt (0.5000, 0.2601, 0.9239)
Pt (0.5000, 0.9239, 0.2601)

Values from the calculation:
Magnetization in μB per cell: 0.00
Energy in eV/cell: -52.48
SG: Amm2

---

(8)
A plane-wave DFT calculation with PBE-GGA was carried out for a geometry-optimized PrYP2Ir2O2 structure.

Lattice parameters (Å, degrees): 3.9857 3.9857 8.2313 90.00 90.00 90.00
Fractional coordinates of all 8 atoms:
Pr (0.0000, 0.0000, 0.0000)
Y (0.5000, 0.5000, 0.7190)
P (0.0000, 0.0000, 0.5184)
P (0.5000, 0.5000, 0.2017)
Ir (0.0000, 0.5000, 0.3607)
Ir (0.5000, 0.0000, 0.3607)
O (0.0000, 0.5000, 0.8479)
O (0.5000, 0.0000, 0.8479)

Values from the calculation:
Magnetization in μB per cell: 0.00
Energy in eV/cell: -65.07
SG: P4mm